# 1
# Tb5Dy2Ho4

A relaxed structure of Tb5Dy2Ho4 (PBE, the Alexandria database).

Structure (POSCAR):
```
Tb5Dy2Ho4
1.0
3.4778 0.0000 0.0000
0.0000 8.9799 0.0000
-1.7389 -4.4900 11.5419
Tb Dy Ho
5 2 4
Direct
0.8551 0.0538 0.7101 Tb
0.8551 0.6563 0.7101 Tb
0.1449 0.3437 0.2899 Tb
0.1449 0.9462 0.2899 Tb
0.5000 0.0000 0.0000 Tb
0.2689 0.2689 0.5377 Dy
0.7311 0.7311 0.4623 Dy
0.0000 0.3096 0.0000 Ho
0.5969 0.5969 0.1939 Ho
0.0000 0.6904 0.0000 Ho
0.4031 0.4031 0.8061 Ho
```

Output
As for the space-group type: Immm (71). As for the energy relative to the lowest polymorph listed for this composition: 208 meV per atom. The calculation puts the total energy at -48.20 eV for the cell shown.

***

# 2
# Sr2LiTi6N2O11

A relaxed structure of Sr2LiTi6N2O11 (PBE, the Alexandria database).

Structure (POSCAR):
```
Sr2LiTi6N2O11
1.0
1.9420 7.6268 0.2106
-1.9420 7.6268 0.2106
0.0000 2.3939 9.7103
Sr Li Ti N O
2 1 6 2 11
Direct
0.5146 0.5146 0.1713 Sr
0.4458 0.4458 0.7489 Sr
0.6475 0.6475 0.4123 Li
0.1137 0.1137 0.8939 Ti
0.1859 0.1859 0.5900 Ti
0.2126 0.2126 0.2198 Ti
0.7577 0.7577 0.7864 Ti
0.8474 0.8474 0.4615 Ti
0.8584 0.8584 0.0681 Ti
0.2355 0.2355 0.7540 N
0.8339 0.8339 0.9008 N
0.0674 0.0674 0.7269 O
0.1393 0.1393 0.4046 O
0.1398 0.1398 0.1068 O
0.6250 0.6250 0.9099 O
0.7000 0.7000 0.5673 O
0.7378 0.7378 0.2302 O
0.3134 0.3134 0.4568 O
0.3467 0.3467 0.1198 O
0.8819 0.8819 0.6221 O
0.9421 0.9421 0.3165 O
0.9843 0.9843 0.0132 O
```

Output
As for the space-group type: Cm (8). As for the energy relative to the lowest polymorph listed for this composition: 10 meV per atom. For the formation energy (no corrections), the calculation gives -259.7 kJ per mole of atoms. The calculation puts the total energy at -183.06 eV for the cell shown.

***

# 3
# Nd8SmTl2

A relaxed structure of Nd8SmTl2 (PBE, the Alexandria database).

Structure (POSCAR):
```
Nd8SmTl2
1.0
5.8715 -0.3782 -0.5676
-1.4913 8.8562 -0.7723
-1.4913 -4.1236 7.8756
Nd Sm Tl
8 1 2
Direct
0.8800 0.9072 0.6795 Nd
0.8800 0.6795 0.9072 Nd
0.2951 0.5941 0.5941 Nd
0.5000 0.7805 0.2195 Nd
0.5000 0.2195 0.7805 Nd
0.7049 0.4059 0.4059 Nd
0.1200 0.3205 0.0928 Nd
0.1200 0.0928 0.3205 Nd
0.5000 0.0000 0.0000 Sm
0.0000 0.3058 0.6942 Tl
0.0000 0.6942 0.3058 Tl
```

Output
As for the space-group type: C2/m (12). As for the energy relative to the lowest polymorph listed for this composition: 74 meV per atom. The calculation puts the total energy at -47.95 eV for the cell shown.

***

# 4
# GdMoN2

A relaxed structure of GdMoN2 (PBE, the Alexandria database).

Structure (POSCAR):
```
GdMoN2
1.0
3.2519 0.0000 0.0000
1.6259 2.8162 0.0000
1.6259 0.9387 5.3381
Mo Gd N
1 1 2
Direct
0.0000 0.0000 0.0000 Mo
0.5000 0.5000 0.5000 Gd
0.2597 0.2597 0.2208 N
0.7403 0.7403 0.7792 N
```

Output
As for the space-group type: R-3m (166). For the formation energy (no corrections), the calculation gives -85.4 kJ per mole of atoms. The calculation puts the total energy at -45.10 eV for the cell shown.

***

# 5
# Li2HPd4

A relaxed structure of Li2HPd4 (PBE, the Alexandria database).

Structure (POSCAR):
```
Li2HPd4
1.0
-1.7929 -2.9133 -1.6641
1.0837 -2.2886 2.8389
-5.7224 -1.1404 3.8138
H Pd Li
1 4 2
Direct
0.0000 0.0000 0.0000 H
0.1691 0.1691 0.6618 Pd
0.8309 0.8309 0.3382 Pd
0.0000 0.5000 0.0000 Pd
0.5000 0.0000 0.0000 Pd
0.3588 0.3588 0.2824 Li
0.6412 0.6412 0.7176 Li
```

Output
As for the space-group type: I4/mmm (139). The calculation puts the total energy at -29.26 eV for the cell shown.

***

# 6
# BaSBr2F

A relaxed structure of BaSBr2F (PBE, the Alexandria database).

Structure (POSCAR):
```
BaSBr2F
1.0
-2.2409 3.4989 -4.0832
-2.4057 -3.7249 -1.8716
-4.5206 1.1695 3.4831
S Ba Br F
1 1 2 1
Direct
0.5000 0.5000 0.5000 S
0.0000 0.5000 0.0000 Ba
0.0000 0.0000 0.5000 Br
0.5000 0.0000 0.0000 Br
0.0000 0.0000 0.0000 F
```

Output
As for the space-group type: P4/mmm (123). For the formation energy (no corrections), the calculation gives -89.1 kJ per mole of atoms. The calculation puts the total energy at -15.89 eV for the cell shown.

***

# 7
# RuPtS3

A relaxed structure of RuPtS3 (PBE, the Alexandria database).

Structure (POSCAR):
```
RuPtS3
1.0
-2.1639 2.8668 -2.7979
-3.7363 -2.5912 0.2346
-1.4446 2.4076 3.5841
Ru S Pt
1 3 1
Direct
0.0000 0.0000 0.0000 Ru
0.0000 0.5000 0.0000 S
0.0000 0.0000 0.5000 S
0.5000 0.0000 0.0000 S
0.5000 0.5000 0.5000 Pt
```

Output
As for the space-group type: Pm-3m (221). As for the energy relative to the lowest polymorph listed for this composition: 0 meV per atom. For the formation energy (no corrections), the calculation gives 84.5 kJ per mole of atoms. The calculation puts the total energy at -23.32 eV for the cell shown.

***

# 8
# CuC3Cl

A relaxed structure of CuC3Cl (PBE, the Alexandria database).

Structure (POSCAR):
```
CuC3Cl
1.0
-2.9746 -1.8377 -1.2488
1.6072 -0.3387 -3.3297
1.5341 -3.2082 1.0669
C Cu Cl
3 1 1
Direct
0.0000 0.5000 0.0000 C
0.0000 0.0000 0.5000 C
0.5000 0.0000 0.0000 C
0.5000 0.5000 0.5000 Cu
0.0000 0.0000 0.0000 Cl
```

Output
As for the space-group type: Pm-3m (221). As for the energy relative to the lowest polymorph listed for this composition: 493 meV per atom. For the formation energy (no corrections), the calculation gives 338.3 kJ per mole of atoms. The calculation puts the total energy at -16.08 eV for the cell shown.

***

# 9
# AlAgSe2N

A relaxed structure of AlAgSe2N (PBE, the Alexandria database).

Structure (POSCAR):
```
AlAgSe2N
1.0
5.2114 0.0000 0.0000
0.0000 5.2114 0.0000
0.0000 0.0000 3.9537
N Se Ag Al
1 2 1 1
Direct
0.0000 0.0000 0.5000 N
0.0000 0.5000 0.0000 Se
0.5000 0.0000 0.0000 Se
0.0000 0.0000 0.0000 Ag
0.5000 0.5000 0.5000 Al
```

Output
As for the space-group type: P4/mmm (123). As for the energy relative to the lowest polymorph listed for this composition: 720 meV per atom. For the formation energy (no corrections), the calculation gives 103.2 kJ per mole of atoms. The calculation puts the total energy at -16.54 eV for the cell shown.

***

# 10
# RhSe2Br

A relaxed structure of RhSe2Br (PBE, the Alexandria database).

Structure (POSCAR):
```
RhSe2Br
1.0
-8.1592 -8.1063 5.6005
-5.7828 -9.0012 7.0134
-7.3179 -6.7532 8.0307
Rh Se Br
1 2 1
Direct
0.0000 0.0000 0.0000 Rh
0.9371 0.9371 0.9371 Se
0.0629 0.0629 0.0629 Se
0.5000 0.5000 0.5000 Br
```

Output
As for the space-group type: R-3m (166). As for the energy relative to the lowest polymorph listed for this composition: 514 meV per atom. For the formation energy (no corrections), the calculation gives 19.5 kJ per mole of atoms. The calculation puts the total energy at -15.19 eV for the cell shown.

***

# 11
# Nd3Dy2HoEr6

A relaxed structure of Nd3Dy2HoEr6 (PBE, the Alexandria database).

Structure (POSCAR):
```
Nd3Dy2HoEr6
1.0
-1.9053 4.0616 4.2321
-3.6722 -4.6676 -1.6632
6.4111 -6.3585 7.4936
Nd Dy Ho Er
3 2 1 6
Direct
0.1667 0.8333 0.5000 Nd
0.8333 0.1667 0.5000 Nd
0.5000 0.5000 0.5000 Nd
0.3334 0.6666 0.0000 Dy
0.6666 0.3334 0.0000 Dy
0.0000 0.0000 0.0000 Ho
0.9178 0.5845 0.7537 Er
0.7490 0.7490 0.2464 Er
0.0822 0.4155 0.2463 Er
0.5845 0.9178 0.7537 Er
0.2510 0.2510 0.7536 Er
0.4155 0.0822 0.2463 Er
```

Output
As for the space-group type: C2/m (12). The calculation puts the total energy at -55.22 eV for the cell shown.

***

# 12
# Ni2Sn4Au

A relaxed structure of Ni2Sn4Au (PBE, the Alexandria database).

Structure (POSCAR):
```
Ni2Sn4Au
1.0
-0.8420 -3.2816 -2.6489
2.3925 -3.5702 0.1562
-5.0814 -5.7582 5.2670
Ni Au Sn
2 1 4
Direct
0.5998 0.5998 0.2012 Ni
0.4002 0.4002 0.7988 Ni
0.5000 0.5000 0.5000 Au
0.7003 0.7003 0.8981 Sn
0.8897 0.8897 0.3307 Sn
0.2997 0.2997 0.1019 Sn
0.1103 0.1103 0.6693 Sn
```

Output
As for the space-group type: C2/m (12). The calculation puts the total energy at -32.40 eV for the cell shown.